Sm2CuPb | PBE-GGA | optimized geometry

Properties
Calculated total energy: -4.6280 eV/atom
Formation energy from the elements: -0.32 eV/atom
Magnetization: 0.00 μB per cell
Density of states at the Fermi level: 3.83 states/eV per cell

a b c (Å): 3.552 3.552 8.216
angles (deg): 90.00 90.00 90.00
Space group P4/mmm (No. 123)
One atom of each set of equivalent atoms:
Sm (0.000, 0.000, 0.218)
Cu (0.500, 0.500, 0.000)
Pb (0.500, 0.500, 0.500)